This record from the Alexandria database describes a geometry-optimized MnInH2 structure. The functional is PBE.

density of states at the Fermi level: 0.3937 states/eV per atom
raw total energy: -4.385 eV/atom
SG: I-42d (122)

abc: 4.678 4.678 8.987
angles: 90.00 90.00 90.00
Positions (direct):
Mn  0.000  0.000  0.000
Mn  0.000  0.500  0.250
Mn  0.500  0.000  0.750
Mn  0.500  0.500  0.500
In  0.000  0.000  0.500
In  0.000  0.500  0.750
In  0.500  0.000  0.250
In  0.500  0.500  0.000
H  0.099  0.250  0.125
H  0.250  0.599  0.375
H  0.250  0.901  0.875
H  0.401  0.250  0.625
H  0.599  0.750  0.625
H  0.750  0.099  0.875
H  0.750  0.401  0.375
H  0.901  0.750  0.125


This record from the Alexandria database describes a geometry-optimized Mn2InH structure. The functional is PBE.

density of states at the Fermi level: 0.6453 states/eV per atom
raw total energy: -5.853 eV/atom
SG: R-3m (166)

abc: 2.950 2.950 18.826
angles: 90.00 90.00 120.00
Positions (direct):
Mn  0.000  0.000  0.212
Mn  0.000  0.000  0.788
Mn  0.333  0.667  0.454
Mn  0.333  0.667  0.879
Mn  0.667  0.333  0.121
Mn  0.667  0.333  0.546
In  0.000  0.000  0.000
In  0.333  0.667  0.667
In  0.667  0.333  0.333
H  0.000  0.000  0.500
H  0.333  0.667  0.167
H  0.667  0.333  0.833


This record from the Alexandria database describes a geometry-optimized MnInH2 structure. The functional is PBE.

density of states at the Fermi level: 0.3198 states/eV per atom
raw total energy: -4.515 eV/atom
SG: R-3m (166)

abc: 3.003 3.003 16.669
angles: 90.00 90.00 120.00
Positions (direct):
Mn  0.000  0.000  0.000
Mn  0.333  0.667  0.667
Mn  0.667  0.333  0.333
In  0.000  0.000  0.500
In  0.333  0.667  0.167
In  0.667  0.333  0.833
H  0.000  0.000  0.301
H  0.000  0.000  0.699
H  0.333  0.667  0.366
H  0.333  0.667  0.968
H  0.667  0.333  0.032
H  0.667  0.333  0.634


This record from the Alexandria database describes a geometry-optimized Mn3In5H12 structure. The functional is PBE.

density of states at the Fermi level: 0.3557 states/eV per atom
raw total energy: -3.613 eV/atom
SG: Ia-3d (230)

abc: 10.709 10.709 10.709
angles: 109.47 109.47 109.47
Positions (direct):
Mn  0.125  0.250  0.375
Mn  0.125  0.375  0.750
Mn  0.250  0.375  0.125
Mn  0.250  0.875  0.625
Mn  0.375  0.125  0.250
Mn  0.375  0.750  0.125
Mn  0.625  0.250  0.875
Mn  0.625  0.875  0.750
Mn  0.750  0.125  0.375
Mn  0.750  0.625  0.875
Mn  0.875  0.625  0.250
Mn  0.875  0.750  0.625
In  0.000  0.000  0.000
In  0.000  0.000  0.500
In  0.000  0.500  0.000
In  0.000  0.500  0.500
In  0.125  0.750  0.875
In  0.125  0.875  0.250
In  0.250  0.125  0.875
In  0.250  0.625  0.375
In  0.375  0.250  0.625
In  0.375  0.625  0.750
In  0.500  0.000  0.000
In  0.500  0.000  0.500
In  0.500  0.500  0.000
In  0.500  0.500  0.500
In  0.625  0.375  0.250
In  0.625  0.750  0.375
In  0.750  0.375  0.625
In  0.750  0.875  0.125
In  0.875  0.125  0.750
In  0.875  0.250  0.125
H  0.070  0.777  0.643
H  0.070  0.793  0.427
H  0.073  0.707  0.430
H  0.073  0.865  0.643
H  0.135  0.277  0.207
H  0.135  0.357  0.927
H  0.143  0.277  0.570
H  0.143  0.365  0.573
H  0.207  0.135  0.277
H  0.207  0.573  0.930
H  0.223  0.357  0.930
H  0.223  0.365  0.293
H  0.277  0.207  0.135
H  0.277  0.570  0.143
H  0.293  0.223  0.365
H  0.293  0.570  0.927
H  0.357  0.927  0.135
H  0.357  0.930  0.223
H  0.365  0.293  0.223
H  0.365  0.573  0.143
H  0.427  0.070  0.793
H  0.427  0.857  0.635
H  0.430  0.073  0.707
H  0.430  0.857  0.723
H  0.570  0.143  0.277
H  0.570  0.927  0.293
H  0.573  0.143  0.365
H  0.573  0.930  0.207
H  0.635  0.427  0.857
H  0.635  0.707  0.777
H  0.643  0.070  0.777
H  0.643  0.073  0.865
H  0.707  0.430  0.073
H  0.707  0.777  0.635
H  0.723  0.430  0.857
H  0.723  0.793  0.865
H  0.777  0.635  0.707
H  0.777  0.643  0.070
H  0.793  0.427  0.070
H  0.793  0.865  0.723
H  0.857  0.635  0.427
H  0.857  0.723  0.430
H  0.865  0.643  0.073
H  0.865  0.723  0.793
H  0.927  0.135  0.357
H  0.927  0.293  0.570
H  0.930  0.207  0.573
H  0.930  0.223  0.357